[1]
Sm2Cu2Si3 after structural relaxation, computed with GGA-PBE.

Properties
Symmetry: No. 63
Formation energy without anion corrections (eV/atom): -0.64

a = 9.176 Å, b = 9.176 Å, c = 6.661 Å
α = 90.00°, β = 90.00°, γ = 153.12°
Element x y z (fractional)
Sm  0.052  0.948  0.750
Sm  0.159  0.841  0.250
Sm  0.841  0.159  0.750
Sm  0.948  0.052  0.250
Cu  0.313  0.687  0.062
Cu  0.313  0.687  0.438
Cu  0.687  0.313  0.562
Cu  0.687  0.313  0.938
Si  0.222  0.778  0.750
Si  0.439  0.561  0.570
Si  0.439  0.561  0.930
Si  0.561  0.439  0.070
Si  0.561  0.439  0.430
Si  0.778  0.222  0.250



[2]
Sr2H4Rh after structural relaxation, computed with GGA-PBE.

Properties
Energy (eV for the cell shown): -27.42
Symmetry: No. 139

a = 7.836 Å, b = 7.836 Å, c = 7.836 Å
α = 153.35°, β = 153.35°, γ = 38.04°
Element x y z (fractional)
Sr  0.135  0.135  0.000
Sr  0.865  0.865  0.000
H  0.000  0.500  0.500
H  0.309  0.309  0.000
H  0.500  0.000  0.500
H  0.691  0.691  0.000
Rh  0.500  0.500  0.000



[3]
CaScZn2 after structural relaxation, computed with GGA-PBE.

Properties
ΔE_f (eV/atom): -0.0465
Symmetry: No. 166

a = 8.857 Å, b = 8.857 Å, c = 8.857 Å
α = 23.31°, β = 23.31°, γ = 23.31°
Element x y z (fractional)
Ca  0.000  0.000  0.000
Sc  0.500  0.500  0.500
Zn  0.243  0.243  0.243
Zn  0.757  0.757  0.757